(1)
# BaZnRu3 GGA-PBE optimized geometry
# Excess energy over the best structure of this formula in the dataset   1455 meV per atom
# Energy relative to the elements   2626 meV per atom
# Total moment   4.912 μB per cell
data_BaZnRu3
_cell_length_a 5.086
_cell_length_b 5.086
_cell_length_c 5.086
_cell_angle_alpha 90.00
_cell_angle_beta 90.00
_cell_angle_gamma 90.00
_space_group_name_H-M_alt 'P 1'
_space_group_IT_number 1
loop_
_space_group_symop_operation_xyz
'x,y,z'
loop_
_atom_site_label
_atom_site_fract_x
_atom_site_fract_y
_atom_site_fract_z
_atom_site_occupancy
Ba1 0.000 0.000 0.000 1
Zn1 0.500 0.500 0.500 1
Ru1 0.000 0.000 0.500 1
Ru2 0.000 0.500 0.000 1
Ru3 0.500 0.000 0.000 1


(2)
# Ba2ZnRu GGA-PBE optimized geometry
# Energy relative to the elements   512 meV per atom
# Total moment   0.550 μB per cell
data_Ba2ZnRu
_cell_length_a 9.409
_cell_length_b 9.409
_cell_length_c 9.409
_cell_angle_alpha 25.69
_cell_angle_beta 25.69
_cell_angle_gamma 25.69
_space_group_name_H-M_alt 'P 1'
_space_group_IT_number 1
loop_
_space_group_symop_operation_xyz
'x,y,z'
loop_
_atom_site_label
_atom_site_fract_x
_atom_site_fract_y
_atom_site_fract_z
_atom_site_occupancy
Ba1 0.238 0.238 0.238 1
Ba2 0.762 0.762 0.762 1
Zn1 0.000 0.000 0.000 1
Ru1 0.500 0.500 0.500 1


(3)
# BaZnRu3 GGA-PBE optimized geometry
# Excess energy over the best structure of this formula in the dataset   0 meV per atom
# Energy relative to the elements   1171 meV per atom
# Total moment   4.976 μB per cell
data_BaZnRu3
_cell_length_a 4.789
_cell_length_b 4.789
_cell_length_c 4.789
_cell_angle_alpha 90.00
_cell_angle_beta 90.00
_cell_angle_gamma 90.00
_space_group_name_H-M_alt 'P 1'
_space_group_IT_number 1
loop_
_space_group_symop_operation_xyz
'x,y,z'
loop_
_atom_site_label
_atom_site_fract_x
_atom_site_fract_y
_atom_site_fract_z
_atom_site_occupancy
Ba1 0.000 0.000 0.000 1
Zn1 0.500 0.500 0.500 1
Ru1 0.000 0.500 0.500 1
Ru2 0.500 0.000 0.500 1
Ru3 0.500 0.500 0.000 1


(4)
# BaZrRu GGA-PBE optimized geometry
# Excess energy over the best structure of this formula in the dataset   420 meV per atom
# Energy relative to the elements   528 meV per atom
# Total moment   0.000 μB per cell
data_BaZrRu
_cell_length_a 4.881
_cell_length_b 4.881
_cell_length_c 4.881
_cell_angle_alpha 60.00
_cell_angle_beta 60.00
_cell_angle_gamma 60.00
_space_group_name_H-M_alt 'P 1'
_space_group_IT_number 1
loop_
_space_group_symop_operation_xyz
'x,y,z'
loop_
_atom_site_label
_atom_site_fract_x
_atom_site_fract_y
_atom_site_fract_z
_atom_site_occupancy
Ba1 0.000 0.000 0.000 1
Zr1 0.500 0.500 0.500 1
Ru1 0.250 0.250 0.250 1